No. 1
DFT (PBE-GGA) results for crystalline HgSN2 at its relaxed geometry.

Cell: 4.8439 4.8439 9.8943 Å, 90.00 90.00 90.00°
Last column: nearest neighbours and their distance in Å.
Space group I-42d (No. 122)
Symmetry-distinct sites (fractional):
Hg  0.0000  0.0000  0.0000 x4  4 N 2.39
S  0.0000  0.0000  0.5000 x4  4 N 1.89
N  0.1583  0.2500  0.6250 x8  2 S 1.89

Computed properties:
Calculated total energy = -61.8 eV per cell
ΔE to the lowest computed polymorph = 225 meV/atom
Magnetization = 0.0 μB/cell
Calculated density = 7.46 g/cm3

***

No. 2
DFT (PBE-GGA) results for crystalline HgSN at its relaxed geometry.

Cell: 3.2126 5.1310 7.2946 Å, 90.85 90.05 90.40°
Last column: nearest neighbours and their distance in Å.
Space group P-1 (No. 2)
Symmetry-distinct sites (fractional):
Hg  0.2487  0.2488  0.4528 x2  2 N 3.04, 6 Hg 3.09-3.21
S  0.2522  0.7372  0.1050 x2  1 N 1.50
N  0.2519  0.7301  0.8998 x2  1 S 1.50

Computed properties:
Calculated total energy = -21.5 eV per cell
Magnetization = 0.0 μB/cell
Calculated density = 6.81 g/cm3

***

No. 3
DFT (PBE-GGA) results for crystalline HgSN2 at its relaxed geometry.

Cell: 2.7740 2.7740 23.6280 Å, 90.00 90.00 120.00°
Last column: nearest neighbours and their distance in Å.
Space group R-3m (No. 166, hexagonal axes)
Symmetry-distinct sites (fractional):
Hg  0.0000  0.0000  0.0000 x3  6 Hg 2.77, 2 N 2.96
S  0.0000  0.0000  0.5000 x3  6 N 1.88
N  0.0000  0.0000  0.1251 x6  3 S 1.88

Computed properties:
Calculated total energy = -49.1 eV per cell
ΔE to the lowest computed polymorph = 0 meV/atom
Magnetization = 0.0 μB/cell
Calculated density = 8.25 g/cm3

***

No. 4
DFT (PBE-GGA) results for crystalline Hg3SN at its relaxed geometry.

Cell: 7.3817 4.4952 9.6357 Å, 90.00 95.89 90.00°
Last column: nearest neighbours and their distance in Å.
Space group P2_1/m (No. 11)
Symmetry-distinct sites (fractional):
Hg  0.1109  0.2500  0.1263 x2  3 N 2.29-2.33
Hg  0.1803  0.2500  0.7740 x2  1 N 2.11, 1 S 2.35
Hg  0.3079  0.2500  0.3794 x2  1 S 2.54, 1 Hg 2.71
S  0.4259  0.2500  0.6369 x2  2 Hg 2.35-2.54
N  0.0323  0.7500  0.0955 x2  4 Hg 2.11-2.33

Computed properties:
Calculated total energy = -21.1 eV per cell
ΔE to the lowest computed polymorph = 0 meV/atom
Magnetization = 0.0 μB/cell
Calculated density = 6.76 g/cm3